GGA-PBE TaMn3Tl, relaxed; E = -0.241 Ha/atom; offset from the most stable computed form = 2.76 eV/f.u.; ΔE_f = 9.0 eV/f.u.
1.0
4.876 0.000 0.000
0.000 4.876 0.000
0.000 0.000 4.876
Ta Mn Tl
1 3 1
Cartesian
0.000 0.000 0.000 Ta
0.000 2.438 2.438 Mn
2.438 0.000 2.438 Mn
2.438 2.438 0.000 Mn
2.438 2.438 2.438 Tl

---

GGA-PBE Tl2CuPd9, relaxed; E = -0.175 Ha/atom; ΔE_f = -1.5 eV/f.u.
1.0
4.047 0.000 0.000
0.000 4.047 0.000
0.000 0.000 11.950
Tl Cu Pd
2 1 9
Cartesian
0.000 0.000 2.068 Tl
0.000 0.000 9.882 Tl
0.000 0.000 5.975 Cu
0.000 2.024 0.000 Pd
0.000 2.024 4.145 Pd
0.000 2.024 7.805 Pd
2.024 0.000 0.000 Pd
2.024 0.000 4.145 Pd
2.024 0.000 7.805 Pd
2.024 2.024 2.081 Pd
2.024 2.024 5.975 Pd
2.024 2.024 9.869 Pd

---

GGA-PBE Na2SrOs2O7, relaxed; E = -0.241 Ha/atom; ΔE_f (raw) = -1.44 eV/atom
1.0
-1.971 1.973 9.969
1.971 -1.973 9.969
1.971 1.973 -9.969
Na Sr Os O
2 1 2 7
Cartesian
0.000 0.000 4.991 Na
0.000 0.000 14.947 Na
0.000 1.973 0.000 Sr
1.971 0.000 2.029 Os
0.000 1.973 7.940 Os
1.971 0.000 0.000 O
0.000 0.000 1.910 O
1.971 0.000 3.933 O
0.000 0.000 8.060 O
0.000 0.000 11.878 O
0.000 1.973 6.036 O
0.000 0.000 18.027 O

---

GGA-PBE TbLuHfSc, relaxed; E = -0.225 Ha/atom; ΔE_f = 0.9 eV/f.u.
1.0
0.000 3.757 3.757
3.757 0.000 3.757
3.757 3.757 0.000
Tb Lu Hf Sc
1 1 1 1
Cartesian
0.000 0.000 0.000 Tb
5.636 5.636 5.636 Lu
3.757 3.757 3.757 Hf
1.879 1.879 1.879 Sc

---

GGA-PBE Tb4AlHg3, relaxed; E = -0.123 Ha/atom; ΔE_f = -3.6 eV/f.u.
1.0
3.688 0.000 0.000
0.000 3.688 0.000
0.000 0.000 15.009
Tb Al Hg
4 1 3
Cartesian
0.000 0.000 1.786 Tb
0.000 0.000 5.599 Tb
0.000 0.000 9.410 Tb
0.000 0.000 13.223 Tb
1.844 1.844 0.000 Al
1.844 1.844 3.676 Hg
1.844 1.844 7.505 Hg
1.844 1.844 11.333 Hg

---

Volume per entry: 115.9, 195.7, 155.1, 106.1, 204.2 Å³/cell
Calculated density per entry: 7.882, 12.133, 6.703, 8.724, 10.285 g cm⁻³